# 1
Density functional theory data (SCAN) for a PBEsol-optimized structure of TaH2PtBr.

Cell and atoms, written as extended XYZ:
```
5
Lattice="3.745 0.000 0.000 0.000 3.745 0.000 0.000 0.000 5.121" Properties=species:S:1:pos:R:3 pbc="T T T"
H 0.000 1.873 0.000
H 1.873 0.000 0.000
Br 1.873 1.873 2.561
Pt 0.000 0.000 2.561
Ta 0.000 0.000 0.000
```

Calculated values
total magnetization: 0.0 μB/f.u.
DFT total energy: -32.180 eV/atom
symmetry: P4/mmm
DOS at the Fermi energy: 2.15 states/eV/f.u.


# 2
Density functional theory data (SCAN) for a PBEsol-optimized structure of RbHBr2.

Cell and atoms, written as extended XYZ:
```
4
Lattice="5.374 0.000 0.000 2.687 4.654 0.000 2.687 1.551 6.296" Properties=species:S:1:pos:R:3 pbc="T T T"
H 0.000 0.000 0.000
Rb 5.374 3.103 3.148
Br 8.061 4.654 1.700
Br 2.687 1.551 4.596
```

Calculated values
total magnetization: 0.0 μB/f.u.
DFT total energy: -16.858 eV/atom
symmetry: R-3m
DOS at the Fermi energy: 0.00 states/eV/f.u.


# 3
Density functional theory data (SCAN) for a PBEsol-optimized structure of HSBr3.

Cell and atoms, written as extended XYZ:
```
5
Lattice="-1.173 4.140 1.277 -4.309 -0.975 -0.797 -0.458 -1.434 4.229" Properties=species:S:1:pos:R:3 pbc="T T T"
H 0.000 0.000 0.000
S -2.970 0.866 2.355
Br -2.154 -0.487 -0.399
Br -0.229 -0.717 2.114
Br -0.586 2.070 0.639
```

Calculated values
total magnetization: 0.0 μB/f.u.
DFT total energy: -13.223 eV/atom
symmetry: Pm-3m
DOS at the Fermi energy: 4.23 states/eV/f.u.


# 4
Density functional theory data (SCAN) for a PBEsol-optimized structure of ScHSeBr2.

Cell and atoms, written as extended XYZ:
```
5
Lattice="-2.350 -0.719 -4.516 -0.715 -5.047 1.176 -4.598 1.165 2.207" Properties=species:S:1:pos:R:3 pbc="T T T"
Sc 0.000 0.000 0.000
H -3.831 -2.301 -0.567
Se -1.175 -0.359 -2.258
Br -2.299 0.583 1.103
Br -0.357 -2.524 0.588
```

Calculated values
excess energy over the best structure of this formula in the dataset: 0.0 meV/atom
total magnetization: 0.0 μB/f.u.
DFT total energy: -15.880 eV/atom
symmetry: P4/mmm
DOS at the Fermi energy: 2.78 states/eV/f.u.


# 5
Density functional theory data (SCAN) for a PBEsol-optimized structure of ScHSeBr2.

Cell and atoms, written as extended XYZ:
```
5
Lattice="-1.183 -1.732 -2.903 1.007 -4.432 2.234 -4.673 -0.078 1.951" Properties=species:S:1:pos:R:3 pbc="T T T"
Sc -2.424 -3.121 0.641
H 0.000 0.000 0.000
Se -0.591 -0.866 -1.451
Br -2.336 -0.039 0.975
Br 0.503 -2.216 1.117
```

Calculated values
excess energy over the best structure of this formula in the dataset: 374.1 meV/atom
total magnetization: 0.4 μB/f.u.
DFT total energy: -15.506 eV/atom
symmetry: P4/mmm
DOS at the Fermi energy: 2.35 states/eV/f.u.


# 6
Density functional theory data (SCAN) for a PBEsol-optimized structure of ScH2WBr.

Cell and atoms, written as extended XYZ:
```
5
Lattice="-1.980 -0.280 -3.225 1.437 -3.464 -0.582 -4.327 -2.275 2.855" Properties=species:S:1:pos:R:3 pbc="T T T"
Sc -2.164 -1.138 1.427
H 0.719 -1.732 -0.291
H -0.990 -0.140 -1.612
Br 0.000 0.000 0.000
W -2.435 -3.010 -0.476
```

Calculated values
total magnetization: 2.7 μB/f.u.
DFT total energy: -20.572 eV/atom
symmetry: P4/mmm
DOS at the Fermi energy: 2.96 states/eV/f.u.


# 7
Density functional theory data (SCAN) for a PBEsol-optimized structure of H3SeBr.

Cell and atoms, written as extended XYZ:
```
5
Lattice="3.785 0.000 0.000 0.000 3.785 0.000 0.000 0.000 3.785" Properties=species:S:1:pos:R:3 pbc="T T T"
H 0.000 1.893 0.000
H 0.000 0.000 1.893
H 1.893 0.000 0.000
Br 0.000 0.000 0.000
Se 1.893 1.893 1.893
```

Calculated values
total magnetization: 1.3 μB/f.u.
DFT total energy: -8.821 eV/atom
symmetry: Pm-3m
DOS at the Fermi energy: 2.28 states/eV/f.u.


# 8
Density functional theory data (SCAN) for a PBEsol-optimized structure of SiHSeBr2.

Cell and atoms, written as extended XYZ:
```
5
Lattice="-1.225 3.012 -1.241 -1.936 -2.485 -4.121 -4.453 -0.761 2.551" Properties=species:S:1:pos:R:3 pbc="T T T"
H 0.000 0.000 0.000
Si -3.807 -0.117 -1.406
Se -0.613 1.506 -0.620
Br -2.226 -0.380 1.275
Br -0.968 -1.243 -2.061
```

Calculated values
total magnetization: 0.9 μB/f.u.
DFT total energy: -13.797 eV/atom
symmetry: P4/mmm
DOS at the Fermi energy: 2.50 states/eV/f.u.